VASP calculation (PBE-GGA) on a geometry-optimized ThCoB2Rh2 structure.

Calculated values
The calculation puts the total energy at -7.606 eV per atom. The calculation puts the calculated density at 10.041 g/cm³. The energy of formation from the pure elements comes out at -509 meV per atom.

Cell lengths 3.8977, 3.8977, 6.2803 Å; angles 108.08, 108.08, 90.00 degrees
Closest atoms and distances in Å follow each position.
Sites, in units of the cell vectors:
Th  0.5000  0.5000  0.0000  4 Co 2.76
Co  0.0000  0.0000  0.0000  2 B 1.97
B  0.8259  0.8259  0.6517  1 Co 1.97, 4 Rh 2.13
B  0.1741  0.1741  0.3483  1 Co 1.97, 4 Rh 2.13
Rh  0.2500  0.7500  0.5000  4 B 2.13
Rh  0.7500  0.2500  0.5000  4 B 2.13

---

VASP calculation (PBE-GGA) on a geometry-optimized CeHfSc2 structure.

Calculated values
The calculation puts the total energy at -6.958 eV per atom. The calculation puts the calculated density at 6.819 g/cm³. The energy of formation from the pure elements comes out at 179 meV per atom.

Cell lengths 3.8081, 3.8081, 6.8599 Å; angles 90.00, 90.00, 90.00 degrees
Closest atoms and distances in Å follow each position.
Sites, in units of the cell vectors:
Sc  0.0000  0.0000  0.7675  4 Hf 3.13, 1 Sc 3.19, 4 Ce 3.26
Sc  0.0000  0.0000  0.2325  4 Hf 3.13, 1 Sc 3.19, 4 Ce 3.26
Hf  0.5000  0.5000  0.0000  8 Sc 3.13, 2 Ce 3.43
Ce  0.5000  0.5000  0.5000  8 Sc 3.26, 2 Hf 3.43

---

VASP calculation (PBE-GGA) on a geometry-optimized LaAuC structure.

Calculated values
The calculation puts the total energy at -5.964 eV per atom. The calculation puts the calculated density at 7.525 g/cm³. The energy of formation from the pure elements comes out at -154 meV per atom.

Cell lengths 6.1113, 4.9207, 5.1388 Å; angles 89.97, 96.51, 90.02 degrees
Closest atoms and distances in Å follow each position.
Sites, in units of the cell vectors:
C  0.3374  0.0362  0.0909  1 C 1.30
C  0.2716  0.0361  0.3237  1 C 1.30
Au  0.7403  0.5363  0.7885  2 Au 2.81-2.90
Au  0.9460  0.5367  0.3068  2 Au 2.81-2.90, 2 La 3.05-3.09
La  0.4371  0.5362  0.2455  4 C 2.64-2.71
La  0.0535  0.0364  0.7135  2 C 2.45-2.53